Computed, not measured: an optimized crystal structure of BaCuAu3 at the PBE level of DFT. Values from VASP.

Structure (Quantum ESPRESSO input):
```
&SYSTEM
  ibrav = 0, nat = 10, ntyp = 3
/
ATOMIC_SPECIES
Cu 63.55 Cu.upf
Au 196.97 Au.upf
Ba 137.33 Ba.upf
ATOMIC_POSITIONS angstrom
Cu 2.406 -16.512 -1.224
Cu 0.802 -5.504 -0.408
Au 2.402 -8.843 -3.045
Au 2.846 -9.112 1.454
Au 0.806 -13.174 1.413
Au 0.362 -12.905 -3.087
Au -1.239 -9.566 -0.450
Au 4.446 -12.451 -1.183
Ba 1.604 -11.008 -0.816
Ba 0.000 0.000 0.000
CELL_PARAMETERS angstrom
-2.416 -8.044 2.118
0.492 -7.097 -4.942
5.132 -6.876 1.192
```

Computed, not measured: an optimized crystal structure of Dy2AlCo2 at the PBE level of DFT. Values from VASP.

Structure (Quantum ESPRESSO input):
```
&SYSTEM
  ibrav = 0, nat = 5, ntyp = 3
/
ATOMIC_SPECIES
Dy 162.50 Dy.upf
Al 26.98 Al.upf
Co 58.93 Co.upf
ATOMIC_POSITIONS angstrom
Dy 2.509 5.588 0.960
Dy 1.590 1.543 -2.285
Al 0.000 0.000 0.000
Co 3.085 3.038 -0.298
Co 1.014 4.093 -1.026
CELL_PARAMETERS angstrom
0.753 -1.136 -3.786
-0.646 5.315 0.415
3.992 2.952 2.046
```

Computed, not measured: an optimized crystal structure of Zr2Nb4Ge3C3 at the PBE level of DFT. Values from VASP.

Structure (Quantum ESPRESSO input):
```
&SYSTEM
  ibrav = 0, nat = 24, ntyp = 4
/
ATOMIC_SPECIES
Nb 92.91 Nb.upf
Ge 72.64 Ge.upf
C 12.01 C.upf
Zr 91.22 Zr.upf
ATOMIC_POSITIONS angstrom
Nb -0.449 4.072 5.469
Nb 0.496 2.433 7.820
Nb -0.457 4.049 1.176
Nb 0.479 2.415 12.113
Nb -0.460 0.827 1.176
Nb 0.476 -0.807 12.113
Nb -0.477 0.808 5.468
Nb 0.468 -0.831 7.820
Ge -0.293 0.806 9.958
Ge -2.244 4.222 3.322
Ge 3.368 0.669 3.313
Ge 0.312 2.435 3.331
Ge -3.350 2.573 9.976
Ge 2.263 -0.980 9.967
C 1.409 4.075 0.000
C -1.400 -0.817 6.644
C 1.409 0.801 0.000
C -1.386 2.438 6.645
C -1.405 2.438 0.000
C 1.404 0.803 6.643
Zr 2.334 2.440 1.332
Zr -2.344 0.818 7.977
Zr -2.315 0.802 11.957
Zr 2.363 2.424 5.312
CELL_PARAMETERS angstrom
5.627 0.000 0.000
-2.809 4.876 0.000
-2.799 -1.634 13.289
```

Computed, not measured: an optimized crystal structure of K4AsPt2N at the PBE level of DFT. Values from VASP.

Structure (Quantum ESPRESSO input):
```
&SYSTEM
  ibrav = 0, nat = 8, ntyp = 4
/
ATOMIC_SPECIES
Pt 195.08 Pt.upf
N 14.01 N.upf
K 39.10 K.upf
As 74.92 As.upf
ATOMIC_POSITIONS angstrom
Pt 4.217 0.000 7.414
Pt 1.427 0.000 7.414
N 2.822 0.000 5.979
K 2.822 -1.768 2.608
K 0.000 -1.614 4.871
K 0.000 1.614 4.871
K 2.822 1.768 2.608
As 0.000 0.000 1.928
CELL_PARAMETERS angstrom
5.644 0.000 0.000
0.000 4.765 3.769
0.000 -4.765 3.769
```

no.,VASP energy (eV per atom)
1,-2.82
2,-5.83
3,-8.87
4,-3.88